[1]
This record from Alexandria describes crystalline CaZn2Pb2 at its relaxed geometry. The functional is PBE.

Energy above the lowest structure with this stoichiometry: 32.4 meV/atom
Crystal system: tetragonal

Lattice parameters (Å, degrees): 7.962 7.962 3.972 90.00 90.00 90.00
Fractional coordinates of all 10 atoms:
Pb 0.184 0.684 0.500
Pb 0.684 0.816 0.500
Pb 0.816 0.316 0.500
Pb 0.316 0.184 0.500
Zn 0.386 0.886 0.000
Zn 0.886 0.614 0.000
Zn 0.614 0.114 0.000
Zn 0.114 0.386 0.000
Ca 0.000 0.000 0.000
Ca 0.500 0.500 0.000

***

[2]
This record from Alexandria describes crystalline CaZn2Pb at its relaxed geometry. The functional is PBE.

Electronic total energy: -0.0809 hartree per atom
Crystal system: orthorhombic

Lattice parameters (Å, degrees): 4.793 3.600 5.703 90.00 90.00 90.00
Fractional coordinates of all 4 atoms:
Pb 0.500 0.750 0.750
Zn 0.000 0.750 0.027
Zn 0.000 0.750 0.473
Ca 0.500 0.250 0.250

***

[3]
This record from Alexandria describes crystalline Ca3Zn2Pb at its relaxed geometry. The functional is PBE.

Electronic total energy: -0.0878 hartree per atom
Crystal system: orthorhombic

Lattice parameters (Å, degrees): 3.727 5.359 8.495 108.39 90.00 90.00
Fractional coordinates of all 6 atoms:
Ca 0.500 0.500 0.000
Ca 0.500 0.827 0.654
Ca 0.500 0.173 0.346
Zn 0.000 0.332 0.664
Zn 0.000 0.668 0.336
Pb 0.000 0.000 0.000

***

[4]
This record from Alexandria describes crystalline CaZnPb2 at its relaxed geometry. The functional is PBE.

Electronic total energy: -0.1039 hartree per atom
Crystal system: tetragonal

Lattice parameters (Å, degrees): 3.906 3.908 7.120 90.00 90.00 90.00
Fractional coordinates of all 4 atoms:
Pb 0.000 0.000 0.031
Pb 0.000 0.000 0.469
Zn 0.500 0.500 0.250
Ca 0.500 0.500 0.750

***

[5]
This record from Alexandria describes crystalline Ca2ZnPb2 at its relaxed geometry. The functional is PBE.

Energy above the lowest structure with this stoichiometry: 195.0 meV/atom
Crystal system: tetragonal

Lattice parameters (Å, degrees): 8.596 8.596 4.239 90.00 90.00 90.00
Fractional coordinates of all 10 atoms:
Pb 0.127 0.627 0.500
Pb 0.627 0.873 0.500
Pb 0.873 0.373 0.500
Pb 0.373 0.127 0.500
Zn 0.000 0.000 0.000
Zn 0.500 0.500 0.000
Ca 0.326 0.826 0.000
Ca 0.826 0.674 0.000
Ca 0.674 0.174 0.000
Ca 0.174 0.326 0.000

***

[6]
This record from Alexandria describes crystalline CaZnPb2 at its relaxed geometry. The functional is PBE.

Electronic total energy: -0.1038 hartree per atom
Crystal system: orthorhombic

Lattice parameters (Å, degrees): 5.516 3.769 5.367 90.00 90.00 90.00
Fractional coordinates of all 4 atoms:
Pb 0.000 0.875 0.068
Pb 0.500 0.375 0.191
Zn 0.000 0.375 0.559
Ca 0.500 0.875 0.682

***

[7]
This record from Alexandria describes crystalline CaZn2Pb at its relaxed geometry. The functional is PBE.

Electronic total energy: -0.0796 hartree per atom
Crystal system: tetragonal

Lattice parameters (Å, degrees): 5.697 5.697 5.697 133.73 133.73 67.52
Fractional coordinates of all 4 atoms:
Pb 0.750 0.250 0.500
Zn 0.000 0.000 0.000
Zn 0.250 0.750 0.500
Ca 0.500 0.500 0.000

***

[8]
This record from Alexandria describes crystalline Ca6ZnPb at its relaxed geometry. The functional is PBE.

Electronic total energy: -0.0861 hartree per atom
Crystal system: tetragonal

Lattice parameters (Å, degrees): 5.387 5.387 10.343 74.90 74.90 90.00
Fractional coordinates of all 8 atoms:
Ca 0.750 0.750 0.500
Ca 0.599 0.099 0.802
Ca 0.099 0.599 0.802
Ca 0.401 0.901 0.198
Ca 0.250 0.250 0.500
Ca 0.901 0.401 0.198
Zn 0.000 0.000 0.000
Pb 0.500 0.500 0.000

***

[9]
This record from Alexandria describes crystalline CaZn2Pb at its relaxed geometry. The functional is PBE.

Electronic total energy: -0.0824 hartree per atom
Crystal system: monoclinic

Lattice parameters (Å, degrees): 4.474 3.752 6.034 72.27 90.00 90.00
Fractional coordinates of all 4 atoms:
Pb 0.500 0.785 0.807
Zn 0.000 0.181 0.010
Zn 0.500 0.069 0.235
Ca 0.000 0.465 0.449

***

[10]
This record from Alexandria describes crystalline CaZn2Pb at its relaxed geometry. The functional is PBE.

Electronic total energy: -0.0751 hartree per atom
Crystal system: tetragonal

Lattice parameters (Å, degrees): 4.643 4.643 10.663 77.43 77.43 90.00
Fractional coordinates of all 8 atoms:
Pb 0.000 0.000 0.000
Pb 0.750 0.250 0.500
Zn 0.724 0.125 0.250
Zn 0.026 0.625 0.250
Zn 0.375 0.276 0.750
Zn 0.875 0.974 0.750
Ca 0.500 0.500 0.000
Ca 0.250 0.750 0.500

***

[11]
This record from Alexandria describes crystalline CaZn2Pb2 at its relaxed geometry. The functional is PBE.

Energy above the lowest structure with this stoichiometry: 152.2 meV/atom
Crystal system: tetragonal

Lattice parameters (Å, degrees): 8.373 8.373 3.728 90.00 90.00 90.00
Fractional coordinates of all 10 atoms:
Pb 0.361 0.861 0.000
Pb 0.861 0.639 0.000
Pb 0.639 0.139 0.000
Pb 0.139 0.361 0.000
Zn 0.157 0.657 0.500
Zn 0.657 0.843 0.500
Zn 0.843 0.343 0.500
Zn 0.343 0.157 0.500
Ca 0.000 0.000 0.000
Ca 0.500 0.500 0.000

***

[12]
This record from Alexandria describes crystalline Ca4Zn3Pb at its relaxed geometry. The functional is PBE.

Electronic total energy: -0.0836 hartree per atom
Crystal system: tetragonal

Lattice parameters (Å, degrees): 5.303 5.303 8.365 108.47 108.47 90.00
Fractional coordinates of all 8 atoms:
Pb 0.500 0.000 0.000
Ca 0.370 0.370 0.741
Ca 0.630 0.630 0.259
Ca 0.130 0.130 0.259
Ca 0.870 0.870 0.741
Zn 0.000 0.500 0.000
Zn 0.753 0.253 0.505
Zn 0.247 0.747 0.495